No. 1
## TaVSeN2 (PBE-GGA)

Data for a relaxed structure of TaVSeN2.

```
TaVSeN2
1.0
3.982 0.000 0.000
0.000 3.982 0.000
0.000 0.000 5.257
Ta V Se N
1 1 1 2
Cartesian
0.000 0.000 0.000
1.991 1.991 2.628
0.000 0.000 2.628
0.000 1.991 0.000
1.991 0.000 0.000
```

Computed properties:
ΔE to the lowest computed polymorph	0	meV per atom
VASP energy	-7.8023	eV/atom
space group	No. 123
N(E_F)	5.50	states/eV/f.u.
magnetic moment	0.4	Bohr magnetons per cell
E_form (uncorrected)	9.661	kcal/mol of atoms



No. 2
## CaP2W (PBE-GGA)

Data for a relaxed structure of CaP2W.

```
CaP2W
1.0
3.327 0.000 0.000
0.000 3.327 0.000
0.000 0.000 6.683
Ca P W
1 2 1
Cartesian
0.000 0.000 0.000
0.000 0.000 3.513
1.663 1.663 1.733
1.663 1.663 4.171
```

Computed properties:
E_form	-0.10	eV per atom
ΔE to the lowest computed polymorph	457	meV per atom
VASP energy	-6.5480	eV/atom
space group	No. 99
N(E_F)	2.62	states/eV/f.u.
magnetic moment	0.0	Bohr magnetons per cell



> Look up the magnetic moment of the first one.

0.4 Bohr magnetons per cell